A relaxed structure of Zr2CuF8. Source: Alexandria, functional PBE.

Values from the calculation:
total DFT energy (no corrections) = -6.25 eV per atom
space-group type = C2/m, No. 12
raw formation energy = -2.963 eV per atom

a b c (Å): 4.0958 7.2850 7.2850
angles (deg): 55.04 92.51 92.51
Last column: nearest neighbours and their distance in Å.
Positions (direct):
Zr 0.5683 0.7113 0.7113  5 F 1.92-2.15
Zr 0.4317 0.2887 0.2887  5 F 1.92-2.15
Cu 0.0000 0.0000 0.0000  6 F 2.97-3.18
F 0.3945 0.3794 0.9458  2 Zr 2.12-2.19
F 0.6055 0.0542 0.6206  2 Zr 2.12-2.19
F 0.0699 0.7558 0.7558  2 Zr 2.11-2.15
F 0.9301 0.2442 0.2442  2 Zr 2.11-2.15
F 0.3945 0.9458 0.3794  2 Zr 2.12-2.19
F 0.6055 0.6206 0.0542  2 Zr 2.12-2.19
F 0.7531 0.5776 0.5776  1 Zr 1.92
F 0.2469 0.4224 0.4224  1 Zr 1.92